# PmHo2Tm2

PmHo2Tm2 after structural relaxation (PBE, Alexandria via LeMat-Bulk).

```
5
Lattice="3.488 0.000 0.000 0.000 5.668 -0.026 0.000 -2.800 8.138" Properties=species:S:1:pos:R:3 pbc="T T T"
Pm 0.698 0.001 0.300
Ho 0.698 0.027 6.489
Ho 2.442 2.840 1.476
Tm 0.698 2.853 4.537
Tm 2.442 0.014 3.424
```

energy of formation	0.12	eV/atom
energy above the most stable polymorph in this dataset	35	meV per atom
energy	-22.24	eV/cell
V	32.13	A^3/atom
spin magnetization	0.00	μB per cell